Compound: ScAlTe5Pb2
Source: the Alexandria database
Functional: PBE-GGA
Structure: optimized geometry

Space-group type   No. 36
Raw formation energy   -542 kJ/mol of formula units

Unit cell a=4.262 b=9.999 c=14.040 alpha=90.00 beta=90.00 gamma=102.30
Element x y z (fractional)
1 Sc 0.803 0.606 0.528
2 Sc 0.197 0.394 0.028
3 Al 0.562 0.125 0.926
4 Al 0.438 0.875 0.426
5 Te 0.346 0.692 0.014
6 Te 0.693 0.387 0.879
7 Te 0.494 0.989 0.767
8 Te 0.301 0.602 0.675
9 Te 0.959 0.918 0.537
10 Te 0.654 0.308 0.514
11 Te 0.307 0.613 0.379
12 Te 0.506 0.011 0.267
13 Te 0.699 0.398 0.175
14 Te 0.041 0.082 0.037
15 Pb 0.883 0.767 0.826
16 Pb 0.141 0.283 0.674
17 Pb 0.117 0.233 0.326
18 Pb 0.859 0.717 0.174

Compound: KBeS3
Source: the Alexandria database
Functional: PBE-GGA
Structure: optimized geometry

Space-group type   No. 221
Raw formation energy   -62 kJ/mol of formula units
DOS at the Fermi energy   6.0 states/eV per cell

Unit cell a=4.544 b=4.544 c=4.544 alpha=90.00 beta=90.00 gamma=90.00
Element x y z (fractional)
1 Be 0.000 0.000 0.000
2 K 0.500 0.500 0.500
3 S 0.000 0.500 0.000
4 S 0.000 0.000 0.500
5 S 0.500 0.000 0.000

Compound: TbDy2Ho4Mg
Source: the Alexandria database
Functional: PBE-GGA
Structure: optimized geometry

Space-group type   No. 47
Energy of formation   0.02 eV/atom
DOS at the Fermi energy   11.7 states/eV per cell

Unit cell a=4.929 b=4.940 c=11.123 alpha=63.63 beta=90.00 gamma=90.00
Element x y z (fractional)
1 Tb 0.000 0.500 0.500
2 Dy 0.000 0.000 0.000
3 Dy 0.500 0.000 0.500
4 Ho 0.000 0.748 0.752
5 Ho 0.000 0.252 0.248
6 Ho 0.500 0.752 0.248
7 Ho 0.500 0.248 0.752
8 Mg 0.500 0.500 0.000

Compound: Ca12Tl3O5
Source: the Alexandria database
Functional: PBE-GGA
Structure: optimized geometry

Space-group type   No. 230
Raw formation energy   -2822 kJ/mol of formula units
DOS at the Fermi energy   25.2 states/eV per cell

Unit cell a=13.847 b=13.847 c=13.847 alpha=109.47 beta=109.47 gamma=109.47
Element x y z (fractional)
1 Tl 0.750 0.375 0.125
2 Tl 0.875 0.750 0.125
3 Tl 0.375 0.750 0.625
4 Tl 0.250 0.125 0.375
5 Tl 0.875 0.125 0.250
6 Tl 0.375 0.625 0.250
7 Tl 0.625 0.375 0.750
8 Tl 0.125 0.875 0.750
9 Tl 0.750 0.875 0.625
10 Tl 0.625 0.250 0.375
11 Tl 0.125 0.250 0.875
12 Tl 0.250 0.625 0.875
13 O 0.125 0.375 0.250
14 O 0.000 0.500 0.000
15 O 0.000 0.000 0.000
16 O 0.375 0.250 0.125
17 O 0.500 0.000 0.500
18 O 0.500 0.500 0.000
19 O 0.125 0.750 0.375
20 O 0.750 0.125 0.875
21 O 0.750 0.625 0.375
22 O 0.375 0.125 0.750
23 O 0.625 0.875 0.250
24 O 0.500 0.500 0.500
25 O 0.500 0.000 0.000
26 O 0.000 0.000 0.500
27 O 0.250 0.375 0.625
28 O 0.250 0.875 0.125
29 O 0.000 0.500 0.500
30 O 0.875 0.250 0.625
31 O 0.625 0.750 0.875
32 O 0.875 0.625 0.750
33 Ca 0.696 0.112 0.009
34 Ca 0.313 0.509 0.397
35 Ca 0.991 0.388 0.304
36 Ca 0.509 0.196 0.112
37 Ca 0.583 0.696 0.687
38 Ca 0.991 0.603 0.187
39 Ca 0.313 0.804 0.417
40 Ca 0.103 0.917 0.112
41 Ca 0.603 0.991 0.687
42 Ca 0.696 0.583 0.187
43 Ca 0.804 0.491 0.388
44 Ca 0.813 0.897 0.009
45 Ca 0.112 0.696 0.509
46 Ca 0.388 0.397 0.083
47 Ca 0.083 0.897 0.388
48 Ca 0.417 0.112 0.603
49 Ca 0.083 0.187 0.196
50 Ca 0.491 0.687 0.103
51 Ca 0.813 0.917 0.304
52 Ca 0.112 0.417 0.103
53 Ca 0.388 0.991 0.804
54 Ca 0.603 0.612 0.417
55 Ca 0.897 0.813 0.509
56 Ca 0.804 0.313 0.917
57 Ca 0.397 0.388 0.583
58 Ca 0.103 0.187 0.491
59 Ca 0.196 0.687 0.083
60 Ca 0.187 0.083 0.696
61 Ca 0.612 0.009 0.196
62 Ca 0.888 0.583 0.897
63 Ca 0.509 0.313 0.897
64 Ca 0.583 0.888 0.397
65 Ca 0.917 0.813 0.804
66 Ca 0.917 0.103 0.612
67 Ca 0.888 0.304 0.491
68 Ca 0.187 0.103 0.991
69 Ca 0.612 0.603 0.917
70 Ca 0.397 0.009 0.313
71 Ca 0.304 0.417 0.813
72 Ca 0.196 0.509 0.612
73 Ca 0.897 0.083 0.888
74 Ca 0.687 0.196 0.583
75 Ca 0.491 0.804 0.888
76 Ca 0.009 0.397 0.813
77 Ca 0.417 0.304 0.313
78 Ca 0.009 0.612 0.696
79 Ca 0.687 0.491 0.603
80 Ca 0.304 0.888 0.991

Compound: MgNbH
Source: the Alexandria database
Functional: PBE-GGA
Structure: optimized geometry

Space-group type   No. 156
Final energy   -15.01 eV/cell
DOS at the Fermi energy   1.2 states/eV per cell

Unit cell a=3.099 b=3.099 c=5.018 alpha=90.00 beta=90.00 gamma=120.00
Element x y z (fractional)
1 H 0.000 0.000 0.356
2 Nb 0.667 0.333 0.523
3 Mg 0.333 0.667 0.011

Compound: Pm2Cd2Ga3
Source: the Alexandria database
Functional: PBE-GGA
Structure: optimized geometry

Space-group type   No. 63
Energy of formation   -0.50 eV/atom
DOS at the Fermi energy   6.1 states/eV per cell

Unit cell a=4.494 b=7.376 c=9.952 alpha=90.00 beta=103.05 gamma=90.00
Element x y z (fractional)
1 Pm 0.153 0.250 0.305
2 Pm 0.847 0.750 0.695
3 Pm 0.950 0.250 0.900
4 Pm 0.050 0.750 0.100
5 Cd 0.684 0.945 0.368
6 Cd 0.316 0.055 0.632
7 Cd 0.316 0.445 0.632
8 Cd 0.684 0.555 0.368
9 Ga 0.225 0.750 0.449
10 Ga 0.775 0.250 0.551
11 Ga 0.555 0.421 0.111
12 Ga 0.445 0.579 0.889
13 Ga 0.445 0.921 0.889
14 Ga 0.555 0.079 0.111

Compound: YIn2NiTe
Source: the Alexandria database
Functional: PBE-GGA
Structure: optimized geometry

Space-group type   No. 123
Raw formation energy   -204 kJ/mol of formula units
DOS at the Fermi energy   2.6 states/eV per cell

Unit cell a=4.933 b=4.933 c=5.317 alpha=90.00 beta=90.00 gamma=90.00
Element x y z (fractional)
1 Y 0.000 0.000 0.500
2 Ni 0.000 0.000 0.000
3 Te 0.500 0.500 0.500
4 In 0.000 0.500 0.000
5 In 0.500 0.000 0.000

Compound: V6Fe5Re
Source: the Alexandria database
Functional: PBE-GGA
Structure: optimized geometry

Space-group type   No. 12
Energy of formation   -0.15 eV/atom
DOS at the Fermi energy   13.2 states/eV per cell

Unit cell a=4.127 b=5.823 c=7.123 alpha=114.13 beta=106.75 gamma=90.00
Element x y z (fractional)
1 Re 0.000 0.000 0.000
2 Fe 0.668 0.168 0.336
3 Fe 0.332 0.332 0.664
4 Fe 0.000 0.500 0.000
5 Fe 0.668 0.668 0.336
6 Fe 0.332 0.832 0.664
7 V 0.831 0.577 0.662
8 V 0.831 0.084 0.662
9 V 0.500 0.743 0.000
10 V 0.500 0.257 0.000
11 V 0.169 0.916 0.338
12 V 0.169 0.423 0.338

Magnetic moment, record by record: 0.00, 0.00, 0.00, 0.00, 0.00, 0.00, 0.00, 0.33 μB per atom